Entry 1:
A plane-wave DFT calculation with PBE-GGA was carried out for an optimized crystal structure of Cs2BiBr5.

Cell: 14.417 9.738 9.225 Å, 90.00 90.00 90.00°
Space group Pnma (No. 62)
Inequivalent atoms, fractional coordinates:
1 Cs 0.166 0.008 0.087 (multiplicity 8)
2 Bi 0.000 0.250 0.549 (multiplicity 4)
3 Br 0.021 0.250 0.882 (multiplicity 4)
4 Br 0.054 0.553 0.668 (multiplicity 8)
5 Br 0.183 0.250 0.412 (multiplicity 4)
6 Br 0.192 0.750 0.372 (multiplicity 4)

Summary:
Formation energy from raw total energies   -1.29 eV per atom

Entry 2:
A plane-wave DFT calculation with PBE-GGA was carried out for an optimized crystal structure of AlZn2Br.

Cell: 4.496 5.033 7.414 Å, 90.00 90.00 90.00°
Space group Cmm2 (No. 35)
Inequivalent atoms, fractional coordinates:
1 Al 0.000 0.000 0.000 (multiplicity 2)
2 Zn 0.000 0.000 0.400 (multiplicity 2)
3 Zn 0.000 0.500 0.220 (multiplicity 2)
4 Br 0.000 0.500 0.758 (multiplicity 2)

Summary:
Energy relative to the lowest polymorph listed for this composition   1.03 eV per formula unit
Formation energy from raw total energies   0.06 eV per atom

Entry 3:
A plane-wave DFT calculation with PBE-GGA was carried out for an optimized crystal structure of CrOs2Ru.

Cell: 2.711 4.130 5.110 Å, 90.00 105.30 90.00°
Space group Pm (No. 6)
Inequivalent atoms, fractional coordinates:
1 Cr 0.000 0.000 0.000 (multiplicity 1)
2 Os 0.127 0.500 0.255 (multiplicity 1)
3 Os 0.740 0.000 0.481 (multiplicity 1)
4 Ru 0.394 0.500 0.787 (multiplicity 1)

Summary:
Energy relative to the lowest polymorph listed for this composition   0.18 eV per formula unit

Entry 4:
A plane-wave DFT calculation with PBE-GGA was carried out for an optimized crystal structure of TmGeBi.

Cell: 4.7791 4.7791 4.1141 Å, 90.00 90.00 120.00°
Space group P3m1 (No. 156)
Inequivalent atoms, fractional coordinates:
1 Tm 0.0000 0.0000 0.0000 (multiplicity 1)
2 Ge 0.6667 0.3333 0.7666 (multiplicity 1)
3 Bi 0.3333 0.6667 0.4585 (multiplicity 1)

Entry 5:
A plane-wave DFT calculation with PBE-GGA was carried out for an optimized crystal structure of CsNaCd3.

Cell: 6.931 6.931 6.931 Å, 90.00 90.00 90.00°
Space group Pm-3m (No. 221)
Inequivalent atoms, fractional coordinates:
1 Cs 0.000 0.000 0.000 (multiplicity 1)
2 Na 0.500 0.500 0.500 (multiplicity 1)
3 Cd 0.000 0.000 0.500 (multiplicity 3)

Summary:
Energy relative to the lowest polymorph listed for this composition   2.78 eV per formula unit

Entry 6:
A plane-wave DFT calculation with PBE-GGA was carried out for an optimized crystal structure of NaAcIn2Pd4.

Cell: 4.6681 4.6681 26.9351 Å, 90.00 90.00 120.00°
Space group R-3m (No. 166, hexagonal axes)
Inequivalent atoms, fractional coordinates:
1 Na 0.0000 0.0000 0.0000 (multiplicity 3)
2 Ac 0.0000 0.0000 0.5000 (multiplicity 3)
3 In 0.0000 0.0000 0.2653 (multiplicity 6)
4 Pd 0.0000 0.0000 0.1012 (multiplicity 6)
5 Pd 0.0000 0.0000 0.3803 (multiplicity 6)

Entry 7:
A plane-wave DFT calculation with PBE-GGA was carried out for an optimized crystal structure of HfMn2Co.

Cell: 6.075 6.075 6.075 Å, 90.00 90.00 90.00°
Space group Fm-3m (No. 225)
Inequivalent atoms, fractional coordinates:
1 Hf 0.000 0.000 0.000 (multiplicity 4)
2 Mn 0.250 0.250 0.250 (multiplicity 8)
3 Co 0.000 0.000 0.500 (multiplicity 4)

Summary:
Energy relative to the lowest polymorph listed for this composition   0.00 eV per formula unit

Entry 8:
A plane-wave DFT calculation with PBE-GGA was carried out for an optimized crystal structure of La5Nd2Mg2.

Cell: 15.550 10.019 7.939 Å, 90.00 90.00 90.00°
Space group Ima2 (No. 46)
Inequivalent atoms, fractional coordinates:
1 La 0.051 0.204 0.000 (multiplicity 8)
2 La 0.142 0.676 0.635 (multiplicity 8)
3 La 0.250 0.198 0.157 (multiplicity 4)
4 Nd 0.124 0.513 0.247 (multiplicity 8)
5 Mg 0.000 0.000 0.368 (multiplicity 4)
6 Mg 0.250 0.535 0.941 (multiplicity 4)

Entry 9:
A plane-wave DFT calculation with PBE-GGA was carried out for an optimized crystal structure of CoHg2Se.

Cell: 4.049 3.927 5.669 Å, 90.00 103.27 90.00°
Space group P2/m (No. 10)
Inequivalent atoms, fractional coordinates:
1 Co 0.000 0.000 0.000 (multiplicity 1)
2 Hg 0.000 0.000 0.500 (multiplicity 1)
3 Hg 0.500 0.500 0.500 (multiplicity 1)
4 Se 0.500 0.500 0.000 (multiplicity 1)

Summary:
Formation energy from raw total energies   0.44 eV per atom

Entry 10:
A plane-wave DFT calculation with PBE-GGA was carried out for an optimized crystal structure of CsLi2SCl.

Cell: 4.722 4.722 7.282 Å, 90.00 90.00 90.00°
Space group P4/mmm (No. 123)
Inequivalent atoms, fractional coordinates:
1 Cs 0.000 0.000 0.000 (multiplicity 1)
2 Li 0.000 0.500 0.500 (multiplicity 2)
3 S 0.000 0.000 0.500 (multiplicity 1)
4 Cl 0.500 0.500 0.000 (multiplicity 1)

Summary:
Energy relative to the lowest polymorph listed for this composition   0.79 eV per formula unit
Formation energy from raw total energies   -1.33 eV per atom

Entry 11:
A plane-wave DFT calculation with PBE-GGA was carried out for an optimized crystal structure of CuNiIr2Pb.

Cell: 4.986 4.986 4.735 Å, 90.00 90.00 90.00°
Space group P4/mmm (No. 123)
Inequivalent atoms, fractional coordinates:
1 Cu 0.000 0.000 0.000 (multiplicity 1)
2 Ni 0.500 0.500 0.000 (multiplicity 1)
3 Ir 0.000 0.500 0.500 (multiplicity 2)
4 Pb 0.000 0.000 0.500 (multiplicity 1)

Entry 12:
A plane-wave DFT calculation with PBE-GGA was carried out for an optimized crystal structure of Ca2HoTl9.

Cell: 4.826 4.826 14.474 Å, 90.00 90.00 90.00°
Space group P4/mmm (No. 123)
Inequivalent atoms, fractional coordinates:
1 Ca 0.000 0.000 0.171 (multiplicity 2)
2 Ho 0.000 0.000 0.500 (multiplicity 1)
3 Tl 0.000 0.500 0.000 (multiplicity 2)
4 Tl 0.000 0.500 0.337 (multiplicity 4)
5 Tl 0.500 0.500 0.166 (multiplicity 2)
6 Tl 0.500 0.500 0.500 (multiplicity 1)

Number 1: DOS at the Fermi energy 0.0 states/eV/cell, spin magnetization 0.000 μB per atom, raw total energy -3.038 eV/atom. Number 2: DOS at the Fermi energy 1.7 states/eV/cell, spin magnetization 0.000 μB per atom, raw total energy -1.926 eV/atom. Number 3: DOS at the Fermi energy 3.8 states/eV/cell, spin magnetization 0.000 μB per atom, raw total energy -10.229 eV/atom. Number 4: DOS at the Fermi energy 1.3 states/eV/cell, spin magnetization 0.000 μB per atom, raw total energy -4.492 eV/atom. Number 5: DOS at the Fermi energy 3.1 states/eV/cell, spin magnetization 0.000 μB per atom, raw total energy -0.499 eV/atom. Number 6: DOS at the Fermi energy 9.6 states/eV/cell, spin magnetization 0.000 μB per atom, raw total energy -4.503 eV/atom. Number 7: DOS at the Fermi energy 16.0 states/eV/cell, spin magnetization 1.566 μB per atom, raw total energy -8.793 eV/atom. Number 8: DOS at the Fermi energy 46.8 states/eV/cell, spin magnetization 0.000 μB per atom, raw total energy -3.977 eV/atom. Number 9: DOS at the Fermi energy 5.5 states/eV/cell, spin magnetization 0.491 μB per atom, raw total energy -2.363 eV/atom. Number 10: DOS at the Fermi energy 0.0 states/eV/cell, spin magnetization 0.000 μB per atom, raw total energy -3.457 eV/atom. Number 11: DOS at the Fermi energy 14.7 states/eV/cell, spin magnetization 0.011 μB per atom, raw total energy -4.106 eV/atom. Number 12: DOS at the Fermi energy 7.3 states/eV/cell, spin magnetization 0.000 μB per atom, raw total energy -2.716 eV/atom.